(1)
An optimized crystal structure of Sr8Ga2Au, computed with GGA-PBE.

Geometry as POSCAR:
```
Sr8Ga2Au
1.0
10.168 -2.797 0.000
10.168 2.797 0.000
-2.171 0.000 7.427
Sr Ga Au
8 2 1
direct
0.035 0.035 0.298
0.210 0.210 0.819
0.335 0.335 0.536
0.405 0.405 0.064
0.595 0.595 0.936
0.665 0.665 0.464
0.790 0.790 0.181
0.965 0.965 0.702
0.186 0.186 0.215
0.814 0.814 0.785
0.500 0.500 0.500
```

Results
- DFT formation energy (eV per atom) = -0.279


(2)
An optimized crystal structure of Sr2Ga3Au5, computed with GGA-PBE.

Geometry as POSCAR:
```
Sr2Ga3Au5
1.0
-5.375 6.477 3.220
5.375 -6.477 3.220
5.375 6.477 -3.220
Sr Ga Au
4 6 10
direct
0.134 0.234 0.368
0.366 0.734 0.100
0.634 0.266 0.900
0.866 0.766 0.632
0.135 0.893 0.028
0.250 0.750 0.500
0.365 0.393 0.758
0.635 0.607 0.242
0.750 0.250 0.500
0.865 0.107 0.972
0.019 0.750 0.269
0.100 0.659 0.759
0.250 0.250 0.000
0.400 0.159 0.559
0.481 0.750 0.731
0.519 0.250 0.269
0.600 0.841 0.441
0.750 0.750 0.000
0.900 0.341 0.241
0.981 0.250 0.731
```

Results
- DFT formation energy (eV per atom) = -0.587


(3)
An optimized crystal structure of Sr2Ga3Au5, computed with GGA-PBE.

Geometry as POSCAR:
```
Sr2Ga3Au5
1.0
4.360 0.000 0.000
0.000 4.360 0.000
0.000 0.000 11.801
Sr Ga Au
2 3 5
direct
0.000 0.500 0.247
0.500 0.000 0.753
0.000 0.500 0.628
0.500 0.000 0.372
0.500 0.500 0.500
0.000 0.000 0.000
0.000 0.000 0.500
0.000 0.500 0.843
0.500 0.000 0.157
0.500 0.500 0.000
```

Results
- DFT formation energy (eV per atom) = -0.521


Calculated D(E_F), 0.81; 0.39; 0.21 states/eV/atom (same order as the records).
Calculated polymorph energy (0 for the lowest one), 0; 0; 67 meV/atom (same order as the records).